No. 1
VASP calculation (SCAN) on BaFe2Tc at its PBEsol-relaxed geometry.

Output
DOS at the Fermi energy, states/eV/f.u.: 4.44
Energy relative to the lowest polymorph listed for this composition, meV/atom: 49.2

Structure (CIF):
```
data_BaFe2Tc
_cell_length_a 4.0413
_cell_length_b 4.0413
_cell_length_c 17.4949
_cell_angle_alpha 90.00
_cell_angle_beta 90.00
_cell_angle_gamma 120.00
_symmetry_space_group_name_H-M 'R 3 m'
_symmetry_Int_Tables_number 160
_symmetry_space_group_name_Hall 'R 3 -2"'
loop_
_atom_site_label
_atom_site_type_symbol
_atom_site_fract_x
_atom_site_fract_y
_atom_site_fract_z
_atom_site_occupancy
Ba1 Ba 0.0000 0.0000 0.0000 1
Fe1 Fe 0.0000 0.0000 0.4858 1
Fe2 Fe 0.0000 0.0000 0.8120 1
Tc1 Tc 0.0000 0.0000 0.1889 1
```

=====

No. 2
VASP calculation (SCAN) on In3ReC at its PBEsol-relaxed geometry.

Output
DOS at the Fermi energy, states/eV/f.u.: 6.48
Raw total energy, eV/atom: -34.52

Structure (CIF):
```
data_In3ReC
_cell_length_a 5.144
_cell_length_b 5.144
_cell_length_c 5.144
_cell_angle_alpha 90.00
_cell_angle_beta 90.00
_cell_angle_gamma 90.00
_symmetry_space_group_name_H-M 'P m -3 m'
_symmetry_Int_Tables_number 221
_symmetry_space_group_name_Hall '-P 4 2 3'
loop_
_atom_site_label
_atom_site_type_symbol
_atom_site_fract_x
_atom_site_fract_y
_atom_site_fract_z
_atom_site_occupancy
In1 In 0.000 0.000 0.500 1
Re1 Re 0.000 0.000 0.000 1
C1 C 0.500 0.500 0.500 1
```

=====

No. 3
VASP calculation (SCAN) on Ca2NiBr at its PBEsol-relaxed geometry.

Output
DOS at the Fermi energy, states/eV/f.u.: 2.46
Raw formation energy, eV per atom: -0.350
Energy relative to the lowest polymorph listed for this composition, meV/atom: 348.0

Structure (CIF):
```
data_Ca2NiBr
_cell_length_a 4.042
_cell_length_b 4.042
_cell_length_c 11.708
_cell_angle_alpha 90.00
_cell_angle_beta 90.00
_cell_angle_gamma 90.00
_symmetry_space_group_name_H-M 'I -4 m 2'
_symmetry_Int_Tables_number 119
_symmetry_space_group_name_Hall 'I -4 -2'
loop_
_atom_site_label
_atom_site_type_symbol
_atom_site_fract_x
_atom_site_fract_y
_atom_site_fract_z
_atom_site_occupancy
Ca1 Ca 0.000 0.000 0.000 1
Ca2 Ca 0.000 0.500 0.250 1
Ni1 Ni 0.000 0.000 0.500 1
Br1 Br 0.000 0.500 0.750 1
```

=====

No. 4
VASP calculation (SCAN) on CuSiMo2 at its PBEsol-relaxed geometry.

Output
DOS at the Fermi energy, states/eV/f.u.: 2.08
Raw formation energy, eV per atom: 0.059

Structure (CIF):
```
data_CuSiMo2
_cell_length_a 5.238
_cell_length_b 7.978
_cell_length_c 2.659
_cell_angle_alpha 90.00
_cell_angle_beta 101.43
_cell_angle_gamma 90.00
_symmetry_space_group_name_H-M 'C 1 2/m 1'
_symmetry_Int_Tables_number 12
loop_
_symmetry_equiv_pos_as_xyz
'x,y,z'
'-x,-y,-z'
'-x,y,-z'
'x,-y,z'
'x+1/2,y+1/2,z'
'-x+1/2,-y+1/2,-z'
'-x+1/2,y+1/2,-z'
'x+1/2,-y+1/2,z'
loop_
_atom_site_label
_atom_site_type_symbol
_atom_site_fract_x
_atom_site_fract_y
_atom_site_fract_z
_atom_site_occupancy
Cu1 Cu 0.000 0.000 0.000 1
Si1 Si 0.000 0.500 0.000 1
Mo1 Mo 0.250 0.250 0.500 1
```